(1)
Material: ScTa2Be
Method: DFT, meta-GGA SCAN
State: PBEsol geometry

Values from the calculation:
SG	Pmmm (47)
VASP energy	-150.87	eV per formula unit
formation enthalpy at 0 K	0.2217	eV per atom

a = 3.2584 Å, b = 4.3578 Å, c = 4.7156 Å
α = 90.00°, β = 90.00°, γ = 90.00°
Closest atoms and distances in Å follow each position.
Atoms (fractional coordinates):
Sc  0.0000  0.0000  0.0000  4 Be 2.72, 4 Ta 2.87
Ta  0.0000  0.5000  0.5000  4 Ta 2.72, 4 Be 2.87
Ta  0.5000  0.0000  0.5000  4 Ta 2.72, 4 Sc 2.87
Be  0.5000  0.5000  0.0000  4 Sc 2.72, 4 Ta 2.87

=====

(2)
Material: Cs2HfBr6
Method: DFT, meta-GGA SCAN
State: PBEsol geometry

Values from the calculation:
raw formation energy	-1.86	eV per atom
SG	Fm-3m (225)
VASP energy	-271.83	eV per formula unit

a = 7.6087 Å, b = 7.6087 Å, c = 7.6087 Å
α = 60.00°, β = 60.00°, γ = 60.00°
Closest atoms and distances in Å follow each position.
Atoms (fractional coordinates):
Cs  0.2500  0.2500  0.2500  12 Br 3.81
Cs  0.7500  0.7500  0.7500  12 Br 3.81
Hf  0.0000  0.0000  0.0000  6 Br 2.60
Br  0.2414  0.2414  0.7586  1 Hf 2.60
Br  0.2414  0.7586  0.2414  1 Hf 2.60
Br  0.2414  0.7586  0.7586  1 Hf 2.60
Br  0.7586  0.2414  0.2414  1 Hf 2.60
Br  0.7586  0.2414  0.7586  1 Hf 2.60
Br  0.7586  0.7586  0.2414  1 Hf 2.60

=====

(3)
Material: Li2MnO2F
Method: DFT, meta-GGA SCAN
State: PBEsol geometry

Values from the calculation:
raw formation energy	-2.52	eV per atom
SG	Immm (71)
VASP energy	-54.15	eV per formula unit

a = 2.7762 Å, b = 4.5620 Å, c = 8.4862 Å
α = 90.00°, β = 90.00°, γ = 90.00°
Closest atoms and distances in Å follow each position.
Atoms (fractional coordinates):
Li  0.0000  0.0000  0.1750  2 O 2.01, 2 F 2.03
Li  0.0000  0.0000  0.8250  2 O 2.01, 2 F 2.03
Li  0.5000  0.5000  0.3250  2 O 2.01, 2 F 2.03
Li  0.5000  0.5000  0.6750  2 O 2.01, 2 F 2.03
Mn  0.0000  0.0000  0.5000  4 O 1.90
Mn  0.5000  0.5000  0.0000  4 O 1.90
O  0.0000  0.5000  0.1530  2 Mn 1.90, 2 Li 2.01
O  0.0000  0.5000  0.8470  2 Mn 1.90, 2 Li 2.01
O  0.5000  0.0000  0.3470  2 Mn 1.90, 2 Li 2.01
O  0.5000  0.0000  0.6530  2 Mn 1.90, 2 Li 2.01
F  0.0000  0.5000  0.5000  4 Li 2.03
F  0.5000  0.0000  0.0000  4 Li 2.03

=====

(4)
Material: BeInBi2
Method: DFT, meta-GGA SCAN
State: PBEsol geometry

Values from the calculation:
SG	I-42d (122)
VASP energy	-194.05	eV per formula unit
formation enthalpy at 0 K	0.2120	eV per atom

a = 6.1004 Å, b = 6.1004 Å, c = 12.8708 Å
α = 90.00°, β = 90.00°, γ = 90.00°
Closest atoms and distances in Å follow each position.
Atoms (fractional coordinates):
Be  0.0000  0.0000  0.0000  4 Bi 2.50
Be  0.0000  0.5000  0.2500  4 Bi 2.50
Be  0.5000  0.0000  0.7500  4 Bi 2.50
Be  0.5000  0.5000  0.5000  4 Bi 2.50
In  0.0000  0.0000  0.5000  4 Bi 2.91
In  0.0000  0.5000  0.7500  4 Bi 2.91
In  0.5000  0.0000  0.2500  4 Bi 2.91
In  0.5000  0.5000  0.0000  4 Bi 2.91
Bi  0.1901  0.2500  0.1250  2 Be 2.50
Bi  0.2500  0.6901  0.3750  2 Be 2.50
Bi  0.2500  0.8099  0.8750  2 Be 2.50
Bi  0.3099  0.2500  0.6250  2 Be 2.50
Bi  0.6901  0.7500  0.6250  2 Be 2.50
Bi  0.7500  0.1901  0.8750  2 Be 2.50
Bi  0.7500  0.3099  0.3750  2 Be 2.50
Bi  0.8099  0.7500  0.1250  2 Be 2.50

=====

(5)
Material: LiMoBr
Method: DFT, meta-GGA SCAN
State: PBEsol geometry

Values from the calculation:
raw formation energy	1.19	eV per atom
SG	F-43m (216)
VASP energy	-53.16	eV per formula unit

a = 5.9295 Å, b = 5.9295 Å, c = 5.9295 Å
α = 90.00°, β = 90.00°, γ = 90.00°
Closest atoms and distances in Å follow each position.
Atoms (fractional coordinates):
Li  0.0000  0.0000  0.0000  4 Mo 2.57
Li  0.0000  0.5000  0.5000  4 Mo 2.57
Li  0.5000  0.0000  0.5000  4 Mo 2.57
Li  0.5000  0.5000  0.0000  4 Mo 2.57
Mo  0.2500  0.2500  0.2500  4 Li 2.57, 4 Br 2.57
Mo  0.2500  0.7500  0.7500  4 Li 2.57, 4 Br 2.57
Mo  0.7500  0.2500  0.7500  4 Li 2.57, 4 Br 2.57
Mo  0.7500  0.7500  0.2500  4 Li 2.57, 4 Br 2.57
Br  0.0000  0.0000  0.5000  4 Mo 2.57
Br  0.0000  0.5000  0.0000  4 Mo 2.57
Br  0.5000  0.0000  0.0000  4 Mo 2.57
Br  0.5000  0.5000  0.5000  4 Mo 2.57

=====

(6)
Material: OsAuSe2
Method: DFT, meta-GGA SCAN
State: PBEsol geometry

Values from the calculation:
raw formation energy	0.41	eV per atom
SG	P4mm (99)
VASP energy	-179.57	eV per formula unit

a = 2.9355 Å, b = 2.9355 Å, c = 8.5385 Å
α = 90.00°, β = 90.00°, γ = 90.00°
Closest atoms and distances in Å follow each position.
Atoms (fractional coordinates):
Os  0.0000  0.0000  0.0000  4 Se 2.49
Au  0.5000  0.5000  0.7633  4 Os 2.90, 4 Au 2.94, 4 Se 2.94
Se  0.0000  0.0000  0.5190  4 Se 2.94, 4 Au 2.94
Se  0.5000  0.5000  0.1611  4 Os 2.49

=====

(7)
Material: Co3AuO
Method: DFT, meta-GGA SCAN
State: PBEsol geometry

Values from the calculation:
raw formation energy	-0.18	eV per atom
SG	Pm-3m (221)
VASP energy	-128.22	eV per formula unit

a = 3.8021 Å, b = 3.8021 Å, c = 3.8021 Å
α = 90.00°, β = 90.00°, γ = 90.00°
Closest atoms and distances in Å follow each position.
Atoms (fractional coordinates):
Co  0.0000  0.0000  0.5000  2 O 1.90
Co  0.0000  0.5000  0.0000  2 O 1.90
Co  0.5000  0.0000  0.0000  2 O 1.90
Au  0.5000  0.5000  0.5000  12 Co 2.69
O  0.0000  0.0000  0.0000  6 Co 1.90

=====

(8)
Material: K2TeMo
Method: DFT, meta-GGA SCAN
State: PBEsol geometry

Values from the calculation:
raw formation energy	0.85	eV per atom
SG	R-3m (166)
VASP energy	-85.39	eV per formula unit

a = 3.1953 Å, b = 3.1953 Å, c = 35.2832 Å
α = 90.00°, β = 90.00°, γ = 120.00°
Closest atoms and distances in Å follow each position.
Atoms (fractional coordinates):
K  0.0000  0.0000  0.2502  6 K 3.20, 3 Te 3.47, 3 Mo 3.48
K  0.0000  0.0000  0.7498  6 K 3.20, 3 Te 3.47, 3 Mo 3.48
K  0.3333  0.6667  0.4165  6 K 3.20, 3 Te 3.47, 3 Mo 3.48
K  0.3333  0.6667  0.9168  6 K 3.20, 3 Te 3.47, 3 Mo 3.48
K  0.6667  0.3333  0.0832  6 K 3.20, 3 Te 3.47, 3 Mo 3.48
K  0.6667  0.3333  0.5835  6 K 3.20, 3 Te 3.47, 3 Mo 3.48
Te  0.0000  0.0000  0.0000  6 Te 3.20, 6 K 3.47
Te  0.3333  0.6667  0.6667  6 Te 3.20, 6 K 3.47
Te  0.6667  0.3333  0.3333  6 Te 3.20, 6 K 3.47
Mo  0.0000  0.0000  0.5000  6 Mo 3.20, 6 K 3.48
Mo  0.3333  0.6667  0.1667  6 Mo 3.20, 6 K 3.48
Mo  0.6667  0.3333  0.8333  6 Mo 3.20, 6 K 3.48

=====

(9)
Material: PtC2
Method: DFT, meta-GGA SCAN
State: PBEsol geometry

Values from the calculation:
SG	P6_3/mmc (194)
VASP energy	-87.48	eV per formula unit
formation enthalpy at 0 K	0.9710	eV per atom

a = 3.1416 Å, b = 3.1416 Å, c = 7.2646 Å
α = 90.00°, β = 90.00°, γ = 120.00°
Closest atoms and distances in Å follow each position.
Atoms (fractional coordinates):
Pt  0.0000  0.0000  0.0000  6 C 2.14
Pt  0.0000  0.0000  0.5000  6 C 2.14
C  0.3333  0.6667  0.1562  1 C 1.36
C  0.3333  0.6667  0.3438  1 C 1.36
C  0.6667  0.3333  0.6562  1 C 1.36
C  0.6667  0.3333  0.8438  1 C 1.36

=====

(10)
Material: LiAgBr2
Method: DFT, meta-GGA SCAN
State: PBEsol geometry

Values from the calculation:
raw formation energy	-1.03	eV per atom
SG	R-3m (166)
VASP energy	-76.78	eV per formula unit

a = 3.9485 Å, b = 3.9485 Å, c = 19.1930 Å
α = 90.00°, β = 90.00°, γ = 120.00°
Closest atoms and distances in Å follow each position.
Atoms (fractional coordinates):
Li  0.0000  0.0000  0.0000  6 Br 2.74
Li  0.3333  0.6667  0.6667  6 Br 2.74
Li  0.6667  0.3333  0.3333  6 Br 2.74
Ag  0.0000  0.0000  0.5000  6 Br 2.83
Ag  0.3333  0.6667  0.1667  6 Br 2.83
Ag  0.6667  0.3333  0.8333  6 Br 2.83
Br  0.0000  0.0000  0.2541  3 Li 2.74, 3 Ag 2.83
Br  0.0000  0.0000  0.7459  3 Li 2.74, 3 Ag 2.83
Br  0.3333  0.6667  0.4126  3 Li 2.74, 3 Ag 2.83
Br  0.3333  0.6667  0.9208  3 Li 2.74, 3 Ag 2.83
Br  0.6667  0.3333  0.0792  3 Li 2.74, 3 Ag 2.83
Br  0.6667  0.3333  0.5874  3 Li 2.74, 3 Ag 2.83

=====

(11)
Material: As2RuSe
Method: DFT, meta-GGA SCAN
State: PBEsol geometry

Values from the calculation:
raw formation energy	0.22	eV per atom
SG	P4mm (99)
VASP energy	-94.42	eV per formula unit

a = 2.9074 Å, b = 2.9074 Å, c = 8.2473 Å
α = 90.00°, β = 90.00°, γ = 90.00°
Closest atoms and distances in Å follow each position.
Atoms (fractional coordinates):
As  0.0000  0.0000  0.0000  8 As 2.91-3.13
As  0.5000  0.5000  0.2867  4 Ru 2.65, 4 As 2.91
Ru  0.0000  0.0000  0.4894  4 Se 2.57, 4 As 2.65
Se  0.5000  0.5000  0.6768  4 Ru 2.57

=====

(12)
Material: YSi3F
Method: DFT, meta-GGA SCAN
State: PBEsol geometry

Values from the calculation:
raw formation energy	1.21	eV per atom
SG	Pm-3m (221)
VASP energy	-55.40	eV per formula unit

a = 5.3175 Å, b = 5.3175 Å, c = 5.3175 Å
α = 90.00°, β = 90.00°, γ = 90.00°
Closest atoms and distances in Å follow each position.
Atoms (fractional coordinates):
Y  0.0000  0.0000  0.0000  6 Si 2.66
Si  0.0000  0.0000  0.5000  2 Y 2.66
Si  0.0000  0.5000  0.0000  2 Y 2.66
Si  0.5000  0.0000  0.0000  2 Y 2.66
F  0.5000  0.5000  0.5000  12 Si 3.76

=====

(13)
Material: V6O13
Method: DFT, meta-GGA SCAN
State: PBEsol geometry

Values from the calculation:
raw formation energy	-2.59	eV per atom
SG	Fmmm (69)
VASP energy	-235.12	eV per formula unit

a = 11.4055 Å, b = 9.9515 Å, c = 6.1526 Å
α = 86.82°, β = 60.59°, γ = 32.59°
Closest atoms and distances in Å follow each position.
Atoms (fractional coordinates):
V  0.0351  0.3314  0.6686  2 O 1.66-1.76
V  0.1496  0.8504  0.1496  5 O 1.76-1.93
V  0.3314  0.0351  0.9649  2 O 1.66-1.76
V  0.6686  0.9649  0.0351  2 O 1.66-1.76
V  0.8504  0.1496  0.8504  5 O 1.76-1.93
V  0.9649  0.6686  0.3314  2 O 1.66-1.76
O  0.0000  0.0000  0.0000  2 V 1.76
O  0.0549  0.7478  0.2522  1 V 1.66
O  0.1235  0.4718  0.5282  3 V 1.91-2.12
O  0.1963  0.1963  0.8037  2 V 1.76
O  0.2522  0.9451  0.0549  1 V 1.66
O  0.3236  0.6764  0.3236  3 V 1.87-2.04
O  0.4718  0.1235  0.8765  3 V 1.91-2.12
O  0.5282  0.8765  0.1235  3 V 1.91-2.12
O  0.6764  0.3236  0.6764  3 V 1.87-2.04
O  0.7478  0.0549  0.9451  1 V 1.66
O  0.8037  0.8037  0.1963  2 V 1.76
O  0.8765  0.5282  0.4718  3 V 1.91-2.12
O  0.9451  0.2522  0.7478  1 V 1.66